Model P:
Below is an optimized crystal structure of AcPr3Sb4, with properties calculated at the PBE level.

abc: 8.0032 8.0032 4.6229
angles: 90.00 90.00 109.44
Element x y z (fractional)
Ac  0.0000  0.0000  0.0000
Pr  0.0000  0.5000  0.5000
Pr  0.5000  0.0000  0.5000
Pr  0.5000  0.5000  0.0000
Sb  0.2541  0.7459  0.0000
Sb  0.2584  0.2584  0.5000
Sb  0.7416  0.7416  0.5000
Sb  0.7459  0.2541  0.0000

Computed properties:
**Density**: 6.76 g cm⁻³
**Symmetry**: Cmmm


Model Q:
Below is an optimized crystal structure of AcPr3Sb4, with properties calculated at the PBE level.

abc: 6.5374 6.5374 6.5374
angles: 90.00 90.00 90.00
Element x y z (fractional)
Ac  0.0000  0.0000  0.0000
Pr  0.0000  0.5000  0.5000
Pr  0.5000  0.0000  0.5000
Pr  0.5000  0.5000  0.0000
Sb  0.0000  0.0000  0.5000
Sb  0.0000  0.5000  0.0000
Sb  0.5000  0.0000  0.0000
Sb  0.5000  0.5000  0.5000

Computed properties:
**Density**: 6.76 g cm⁻³
**Symmetry**: Pm-3m


Q: Which of them is the least stable? A: model Q.


Model P:
Below is an optimized crystal structure of AcPr2Sb, with properties calculated at the PBE level.

abc: 11.6013 11.6013 11.6013
angles: 20.46 20.46 20.46
Element x y z (fractional)
Ac  0.0000  0.0000  0.0000
Pr  0.1089  0.1089  0.1089
Pr  0.8911  0.8911  0.8911
Sb  0.5000  0.5000  0.5000

Computed properties:
**Density**: 6.27 g cm⁻³
**Symmetry**: R-3m


Model Q:
Below is an optimized crystal structure of AcPr2Sb, with properties calculated at the PBE level.

abc: 5.6966 5.6966 5.6966
angles: 60.00 60.00 60.00
Element x y z (fractional)
Ac  0.0000  0.0000  0.0000
Pr  0.2500  0.2500  0.2500
Pr  0.7500  0.7500  0.7500
Sb  0.5000  0.5000  0.5000

Computed properties:
**Density**: 8.01 g cm⁻³
**Symmetry**: Fm-3m


Q: Which of them is the least stable? A: model P.